(1)
Computed, not measured: crystalline ScGa2Tc2 at its relaxed geometry at the PBE level of DFT.

Structure (CIF):
```
data_ScGa2Tc2
_space_group_name_H-M_alt 'I 4/m m m'
_space_group_IT_number 139
_space_group_name_Hall '-I 4 2'
_cell_length_a 4.472
_cell_length_b 4.472
_cell_length_c 9.121
_cell_angle_alpha 90.00
_cell_angle_beta 90.00
_cell_angle_gamma 90.00
loop_
_atom_site_label
_atom_site_type_symbol
_atom_site_fract_x
_atom_site_fract_y
_atom_site_fract_z
_atom_site_occupancy
Sc1 Sc 0.000 0.000 0.000 1
Ga1 Ga 0.000 0.500 0.250 1
Tc1 Tc 0.000 0.000 0.378 1
```

Density of states at the Fermi level: 1.1151 states/eV per atom
Final energy: -6.666 eV/atom
Energy relative to the elements: -0.042 eV/atom
M_tot: 0.0 μB/cell
Calculated volume: 18.24 A^3/atom

---

(2)
Computed, not measured: crystalline ScGa4Tc at its relaxed geometry at the PBE level of DFT.

Structure (CIF):
```
data_ScGa4Tc
_space_group_name_H-M_alt 'I m m m'
_space_group_IT_number 71
_space_group_name_Hall '-I 2 2'
_cell_length_a 4.723
_cell_length_b 5.604
_cell_length_c 7.402
_cell_angle_alpha 90.00
_cell_angle_beta 90.00
_cell_angle_gamma 90.00
loop_
_atom_site_label
_atom_site_type_symbol
_atom_site_fract_x
_atom_site_fract_y
_atom_site_fract_z
_atom_site_occupancy
Sc1 Sc 0.000 0.000 0.000 1
Ga1 Ga 0.000 0.236 0.332 1
Tc1 Tc 0.000 0.500 0.000 1
```

Density of states at the Fermi level: 0.4086 states/eV per atom
Final energy: -4.995 eV/atom
Energy relative to the elements: -0.194 eV/atom
M_tot: 0.0 μB/cell
Calculated volume: 16.32 A^3/atom

---

(3)
Computed, not measured: crystalline Sc3Ga8Tc at its relaxed geometry at the PBE level of DFT.

Structure (CIF):
```
data_Sc3Ga8Tc
_space_group_name_H-M_alt 'I -4 2 m'
_space_group_IT_number 121
_space_group_name_Hall 'I -4 2'
_cell_length_a 7.369
_cell_length_b 7.369
_cell_length_c 9.180
_cell_angle_alpha 90.00
_cell_angle_beta 90.00
_cell_angle_gamma 90.00
loop_
_atom_site_label
_atom_site_type_symbol
_atom_site_fract_x
_atom_site_fract_y
_atom_site_fract_z
_atom_site_occupancy
Sc1 Sc 0.000 0.000 0.000 1
Sc2 Sc 0.000 0.500 0.250 1
Ga1 Ga 0.130 0.130 0.269 1
Ga2 Ga 0.241 0.241 0.531 1
Tc1 Tc 0.000 0.000 0.500 1
```

Density of states at the Fermi level: 0.6974 states/eV per atom
Final energy: -4.485 eV/atom
Energy relative to the elements: -0.021 eV/atom
M_tot: 0.0 μB/cell
Calculated volume: 20.77 A^3/atom

---

(4)
Computed, not measured: crystalline Sc6Ga5Tc at its relaxed geometry at the PBE level of DFT.

Structure (CIF):
```
data_Sc6Ga5Tc
_space_group_name_H-M_alt 'C m m m'
_space_group_IT_number 65
_space_group_name_Hall '-C 2 2'
_cell_length_a 4.710
_cell_length_b 14.126
_cell_length_c 6.658
_cell_angle_alpha 90.00
_cell_angle_beta 90.00
_cell_angle_gamma 90.00
loop_
_atom_site_label
_atom_site_type_symbol
_atom_site_fract_x
_atom_site_fract_y
_atom_site_fract_z
_atom_site_occupancy
Sc1 Sc 0.000 0.000 0.250 1
Sc2 Sc 0.000 0.336 0.244 1
Ga1 Ga 0.000 0.159 0.000 1
Ga2 Ga 0.000 0.170 0.500 1
Ga3 Ga 0.000 0.500 0.500 1
Tc1 Tc 0.000 0.500 0.000 1
```

Density of states at the Fermi level: 0.3036 states/eV per atom
Final energy: -5.900 eV/atom
Energy relative to the elements: -0.609 eV/atom
M_tot: 0.0 μB/cell
Calculated volume: 18.46 A^3/atom

---

Among the records above, which one has the highest energy relative to the elements? Sc3Ga8Tc

---

Which formula does entry 4 have? Sc6Ga5Tc

---

Please write out number 1 again, unchanged.
Computed, not measured: crystalline ScGa2Tc2 at its relaxed geometry at the PBE level of DFT.

Structure (CIF):
```
data_ScGa2Tc2
_space_group_name_H-M_alt 'I 4/m m m'
_space_group_IT_number 139
_space_group_name_Hall '-I 4 2'
_cell_length_a 4.472
_cell_length_b 4.472
_cell_length_c 9.121
_cell_angle_alpha 90.00
_cell_angle_beta 90.00
_cell_angle_gamma 90.00
loop_
_atom_site_label
_atom_site_type_symbol
_atom_site_fract_x
_atom_site_fract_y
_atom_site_fract_z
_atom_site_occupancy
Sc1 Sc 0.000 0.000 0.000 1
Ga1 Ga 0.000 0.500 0.250 1
Tc1 Tc 0.000 0.000 0.378 1
```

Density of states at the Fermi level: 1.1151 states/eV per atom
Final energy: -6.666 eV/atom
Energy relative to the elements: -0.042 eV/atom
M_tot: 0.0 μB/cell
Calculated volume: 18.24 A^3/atom

---

Which value of calculated volume does entry 2 give? 16.32 A^3/atom